A plane-wave DFT calculation with PBE was carried out for a relaxed structure of BaHoNO.

The energy above the most stable polymorph in this dataset comes out at 0.246 eV per atom. Its spin magnetization is 0.001 μB/cell.

The space group is P4/nmm (No. 129, origin choice 2) and the conventional cell measures 4.745, 4.745 and 7.365 Å, with angles of 90.00, 90.00 and 90.00 degrees. The asymmetric unit holds Ba at (0.250, 0.750, 0.000), Ho at (0.250, 0.250, 0.440), N at (0.250, 0.250, 0.159) and O at (0.250, 0.750, 0.500).

---

A plane-wave DFT calculation with PBE was carried out for a relaxed structure of PrYGa2.

Its spin magnetization is 0.019 μB/cell. The total energy is -39.55 eV for the cell shown.

The space group is Amm2 (No. 38) and the conventional cell measures 4.132, 4.427 and 11.178 Å, with angles of 90.00, 90.00 and 90.00 degrees. The asymmetric unit holds Pr at (0.000, 0.000, 0.000), Y at (0.500, 0.000, 0.721), Ga at (0.000, 0.000, 0.282) and Ga at (0.500, 0.000, 0.428).

---

A plane-wave DFT calculation with PBE was carried out for a relaxed structure of RbReO3.

Its spin magnetization is 0.000 μB/cell. The total energy is -35.98 eV for the cell shown.

The space group is P4/mmm (No. 123) and the conventional cell measures 3.942, 3.942 and 3.956 Å, with angles of 90.00, 90.00 and 90.00 degrees. The asymmetric unit holds Rb at (0.000, 0.000, 0.000), Re at (0.500, 0.500, 0.500), O at (0.000, 0.500, 0.500) and O at (0.500, 0.500, 0.000).

---

A plane-wave DFT calculation with PBE was carried out for a relaxed structure of PrTmZnSe3.

Its spin magnetization is 0.017 μB/cell. The total energy is -114.63 eV for the cell shown.

The space group is Cmcm (No. 63) and the conventional cell measures 4.004, 14.182 and 9.986 Å, with angles of 90.00, 90.00 and 90.00 degrees. The asymmetric unit holds Pr at (0.000, 0.225, 0.250), Tm at (0.000, 0.000, 0.000), Zn at (0.000, 0.477, 0.750), Se at (0.000, 0.111, 0.750) and Se at (0.000, 0.356, 0.548).

---

A plane-wave DFT calculation with PBE was carried out for a relaxed structure of PrSbPbI2.

Its spin magnetization is 0.007 μB/cell. The total energy is -20.01 eV for the cell shown.

The space group is P3m1 (No. 156) and the conventional cell measures 4.5633, 4.5633 and 11.5656 Å, with angles of 90.00, 90.00 and 120.00 degrees. The asymmetric unit holds Pr at (0.0000, 0.0000, 0.0000), Sb at (0.3333, 0.6667, 0.8504), Pb at (0.6667, 0.3333, 0.6855), I at (0.0000, 0.0000, 0.5130) and I at (0.6667, 0.3333, 0.1705).

---

A plane-wave DFT calculation with PBE was carried out for a relaxed structure of Ho2Co.

Its spin magnetization is 0.002 μB/cell. The total energy is -105.74 eV for the cell shown.

The space group is Fd-3m (No. 227, origin choice 2) and the conventional cell measures 11.073, 11.073 and 11.073 Å, with angles of 90.00, 90.00 and 90.00 degrees. The asymmetric unit holds Ho at (0.000, 0.000, 0.000) and Co at (0.125, 0.125, 0.125).

---

A plane-wave DFT calculation with PBE was carried out for a relaxed structure of Zr2PbAu2.

Its spin magnetization is 0.013 μB/cell. The total energy is -56.11 eV for the cell shown.

The space group is I4/mmm (No. 139) and the conventional cell measures 4.508, 4.508 and 11.887 Å, with angles of 90.00, 90.00 and 90.00 degrees. The asymmetric unit holds Zr at (0.000, 0.500, 0.250), Pb at (0.000, 0.000, 0.000) and Au at (0.000, 0.000, 0.390).

---

A plane-wave DFT calculation with PBE was carried out for a relaxed structure of ScFeGe.

Its spin magnetization is 1.230 μB/cell. The total energy is -83.87 eV for the cell shown.

The space group is I4/mmm (No. 139) and the conventional cell measures 3.917, 3.917 and 12.655 Å, with angles of 90.00, 90.00 and 90.00 degrees. The asymmetric unit holds Sc at (0.000, 0.000, 0.148), Fe at (0.000, 0.500, 0.000) and Ge at (0.000, 0.000, 0.382).

---

A plane-wave DFT calculation with PBE was carried out for a relaxed structure of TbBe4.

Its spin magnetization is 0.012 μB/cell. The total energy is -36.05 eV for the cell shown.

The space group is P4/nmm (No. 129, origin choice 2) and the conventional cell measures 3.127, 3.127 and 13.383 Å, with angles of 90.00, 90.00 and 90.00 degrees. The asymmetric unit holds Tb at (0.250, 0.250, 0.193), Be at (0.250, 0.250, 0.498), Be at (0.250, 0.750, 0.000) and Be at (0.250, 0.750, 0.384).

---

A plane-wave DFT calculation with PBE was carried out for a relaxed structure of TlReAgSeS2.

Its spin magnetization is 0.087 μB/cell. The total energy is -119.30 eV for the cell shown.

The space group is Cmcm (No. 63) and the conventional cell measures 3.269, 16.700 and 9.804 Å, with angles of 90.00, 90.00 and 90.00 degrees. The asymmetric unit holds Tl at (0.000, 0.186, 0.250), Re at (0.000, 0.500, 0.000), Ag at (0.000, 0.165, 0.750), Se at (0.000, 0.465, 0.750) and S at (0.000, 0.105, 0.522).

---

A plane-wave DFT calculation with PBE was carried out for a relaxed structure of Ho2Re.

Its spin magnetization is 0.014 μB/cell. The total energy is -82.52 eV for the cell shown.

The space group is Fm-3m (No. 225) and the conventional cell measures 6.743, 6.743 and 6.743 Å, with angles of 90.00, 90.00 and 90.00 degrees. The asymmetric unit holds Ho at (0.250, 0.250, 0.250) and Re at (0.000, 0.000, 0.000).

---

A plane-wave DFT calculation with PBE was carried out for a relaxed structure of NdGdCl2O2.

Its spin magnetization is 0.000 μB/cell. The total energy is -41.33 eV for the cell shown.

The space group is P4mm (No. 99) and the conventional cell measures 3.983, 3.983 and 6.780 Å, with angles of 90.00, 90.00 and 90.00 degrees. The asymmetric unit holds Nd at (0.000, 0.000, 0.000), Gd at (0.500, 0.500, 0.656), Cl at (0.000, 0.000, 0.453), Cl at (0.500, 0.500, 0.198) and O at (0.000, 0.500, 0.819).

---

A plane-wave DFT calculation with PBE was carried out for a relaxed structure of Y2BiIr.

Its spin magnetization is 0.593 μB/cell. The total energy is -105.68 eV for the cell shown.

The space group is F-43m (No. 216) and the conventional cell measures 7.221, 7.221 and 7.221 Å, with angles of 90.00, 90.00 and 90.00 degrees. The asymmetric unit holds Y at (0.000, 0.000, 0.000), Y at (0.250, 0.250, 0.250), Bi at (0.000, 0.000, 0.500) and Ir at (0.250, 0.250, 0.750).